## PaZnNi (PBE)

Data for PaZnNi after structural relaxation.

Output
- space group = F-43m
- energy of formation (eV per atom) = -0.135
- spin magnetization (Bohr magnetons per cell) = 0.000
- ρ (g/cm3) = 9.95

a b c (Å): 4.3761 4.3761 4.3761
angles (deg): 60.00 60.00 60.00
Sites, in units of the cell vectors:
Pa  0.0000  0.0000  0.0000
Zn  0.5000  0.5000  0.5000
Ni  0.7500  0.7500  0.7500

## PaZn8Ni4 (PBE)

Data for PaZn8Ni4 after structural relaxation.

Output
- space group = I4/mmm
- energy of formation (eV per atom) = -0.196
- spin magnetization (Bohr magnetons per cell) = 0.001
- ρ (g/cm3) = 8.83

a b c (Å): 6.5868 6.5868 6.5868
angles (deg): 98.32 98.32 135.27
Sites, in units of the cell vectors:
Pa  0.0000  0.0000  0.0000
Zn  0.0000  0.3458  0.3458
Zn  0.0000  0.6542  0.6542
Zn  0.2792  0.5000  0.7792
Zn  0.3458  0.0000  0.3458
Zn  0.5000  0.2792  0.7792
Zn  0.5000  0.7208  0.2208
Zn  0.6542  0.0000  0.6542
Zn  0.7208  0.5000  0.2208
Ni  0.0000  0.0000  0.5000
Ni  0.0000  0.5000  0.0000
Ni  0.5000  0.0000  0.0000
Ni  0.5000  0.5000  0.5000

## PaZn5Ni2 (PBE)

Data for PaZn5Ni2 after structural relaxation.

Output
- space group = Immm
- energy of formation (eV per atom) = -0.235
- spin magnetization (Bohr magnetons per cell) = 0.000
- ρ (g/cm3) = 8.98

a b c (Å): 6.1787 6.1787 6.1787
angles (deg): 145.79 103.86 86.19
Sites, in units of the cell vectors:
Pa  0.0000  0.0000  0.0000
Zn  0.1626  0.3469  0.8156
Zn  0.4687  0.6531  0.8156
Zn  0.5000  0.0000  0.5000
Zn  0.5313  0.3469  0.1844
Zn  0.8374  0.6531  0.1844
Ni  0.2171  0.7171  0.5000
Ni  0.7829  0.2829  0.5000